# Ta2TcMo

A relaxed Ta2TcMo crystal (GGA-PBE, the Alexandria database).

Results
electronic total energy	-11.411	eV/atom
space-group type	No. 6
crystal system	monoclinic
ΔE_f	-0.186	eV per atom

Lattice parameters (Å, degrees): 2.851 4.513 5.259 90.00 101.12 90.00
Positions (direct):
Ta 0.000 0.000 0.000
Ta 0.275 0.500 0.739
Tc 0.762 0.500 0.241
Mo 0.515 0.000 0.496